(1)
{"formula": "MnCu2Ir", "functional": "GGA-PBE", "state": "relaxed", "lattice": [[-0.159, 3.887, 2.515], [0.572, 1.906, 4.184], [4.259, 1.327, -0.291]], "species": ["Ir", "Cu", "Mn", "Cu"], "frac_coords": [[0.750, 0.750, 0.750], [0.001, 0.001, 0.001], [0.250, 0.250, 0.250], [0.499, 0.499, 0.499]], "magmom_total_mub_per_fu": 3.44, "dft_energy_ev_per_atom": -6.516, "spacegroup": "C2/m (12)", "density_g_cm3": 11.86, "e_form_mev_per_atom": 40}

=====

(2)
{"formula": "Sc5Sb4Te", "functional": "GGA-PBE", "state": "relaxed", "lattice": [[4.089, 0.000, -0.789], [-0.303, 5.664, -1.572], [0.006, 0.002, 11.024]], "species": ["Sb", "Sc", "Sb", "Sc", "Sc", "Te", "Sb", "Sb", "Sc", "Sc"], "frac_coords": [[0.401, 0.401, 0.801], [0.000, 0.500, 0.000], [0.799, 0.799, 0.598], [0.604, 0.104, 0.208], [0.199, 0.699, 0.398], [0.000, 0.000, 0.000], [0.599, 0.599, 0.199], [0.201, 0.201, 0.402], [0.396, 0.896, 0.792], [0.801, 0.301, 0.602]], "magmom_total_mub_per_fu": 0.00, "dft_energy_ev_per_atom": -6.127, "spacegroup": "Immm (71)", "density_g_cm3": 5.46, "formation_energy_uncorrected_kj_per_mol_atoms": -96.3}